1.
# Sc8Os

Sc8Os after structural relaxation (PBE-GGA, the Alexandria database).

Crystal system = tetragonal
Energy of formation from the pure elements = 2 meV per atom

a b c (Å): 9.2071 9.2071 4.7549
angles (deg): 90.00 90.00 90.00
Space group I4/mmm (No. 139)
Asymmetric unit:
Sc 0.0000 0.3080 0.0000 x8
Sc 0.1560 0.1560 0.5000 x8
Os 0.0000 0.0000 0.0000 x2

=====

2.
# Pm2SnS5

Pm2SnS5 after structural relaxation (PBE-GGA, the Alexandria database).

E_form (uncorrected) = -1.44 eV/atom
Crystal system = orthorhombic
Offset from the most stable computed form = 0 meV/atom

a b c (Å): 7.8614 11.4869 3.9060
angles (deg): 90.00 90.00 90.00
Space group Pbam (No. 55)
Asymmetric unit:
Pm 0.0376 0.1727 0.0000 x4
Sn 0.0000 0.5000 0.5000 x2
S 0.0000 0.0000 0.5000 x2
S 0.1702 0.6956 0.5000 x4
S 0.1728 0.4091 0.0000 x4

=====

3.
# Nb4Co

Nb4Co after structural relaxation (PBE-GGA, the Alexandria database).

Crystal system = orthorhombic
Energy of formation from the pure elements = 62 meV per atom
Offset from the most stable computed form = 0 meV/atom

a b c (Å): 5.9793 11.6672 4.9108
angles (deg): 90.00 90.00 90.00
Space group Ibam (No. 72)
Asymmetric unit:
Nb 0.1410 0.1809 0.0000 x8
Nb 0.1489 0.4158 0.0000 x8
Co 0.0000 0.0000 0.2500 x4

=====

4.
# YMg2Sn3

YMg2Sn3 after structural relaxation (PBE-GGA, the Alexandria database).

Crystal system = orthorhombic
Energy of formation from the pure elements = -106 meV per atom
Offset from the most stable computed form = 266 meV/atom

a b c (Å): 11.9460 9.8404 6.0347
angles (deg): 90.00 90.00 90.00
Space group Cmcm (No. 63)
Asymmetric unit:
Y 0.0000 0.2057 0.2500 x4
Mg 0.1329 0.5000 0.0000 x8
Sn 0.0000 0.2973 0.7500 x4
Sn 0.1542 0.0554 0.7500 x8

=====

5.
# BeReOs2N

BeReOs2N after structural relaxation (PBE-GGA, the Alexandria database).

E_form (uncorrected) = 1.96 eV/atom
Crystal system = tetragonal

a b c (Å): 4.8352 4.8352 3.7052
angles (deg): 90.00 90.00 90.00
Space group P4/mmm (No. 123)
Asymmetric unit:
Be 0.0000 0.0000 0.0000 x1
Re 0.5000 0.5000 0.5000 x1
Os 0.0000 0.5000 0.5000 x2
N 0.5000 0.5000 0.0000 x1

=====

6.
# NdAl2Ni9

NdAl2Ni9 after structural relaxation (PBE-GGA, the Alexandria database).

Crystal system = tetragonal
Energy of formation from the pure elements = -342 meV per atom

a b c (Å): 8.1084 8.1084 4.7404
angles (deg): 90.00 90.00 90.00
Space group P4/mbm (No. 127)
Asymmetric unit:
Nd 0.0000 0.0000 0.0000 x2
Al 0.1198 0.3802 0.0000 x4
Ni 0.0000 0.5000 0.5000 x2
Ni 0.0665 0.2119 0.5000 x8
Ni 0.1766 0.6766 0.2408 x8

=====

Spin magnetization (μB per formula unit)
0.00; 0.00; 0.00; 0.00; 0.83; 0.67